A plane-wave DFT calculation with PBE was carried out for Ga2CoMo after structural relaxation.

Results
VASP energy in eV/f.u.: -23.2

```
data_Ga2CoMo
_cell_length_a 6.088
_cell_length_b 6.088
_cell_length_c 6.088
_cell_angle_alpha 90.00
_cell_angle_beta 90.00
_cell_angle_gamma 90.00
_symmetry_space_group_name_H-M 'F -4 3 m'
_symmetry_Int_Tables_number 216
_symmetry_space_group_name_Hall 'F -4 2 3'
loop_
_atom_site_label
_atom_site_fract_x
_atom_site_fract_y
_atom_site_fract_z
_atom_site_occupancy
Ga1 0.000 0.000 0.000 1
Ga2 0.250 0.250 0.250 1
Co1 0.250 0.250 0.750 1
Mo1 0.000 0.000 0.500 1
```

A plane-wave DFT calculation with PBE was carried out for Ga2Co2Mo3 after structural relaxation.

Results
VASP energy in eV/f.u.: -53.0

```
data_Ga2Co2Mo3
_cell_length_a 4.2543
_cell_length_b 4.2543
_cell_length_c 18.6817
_cell_angle_alpha 90.00
_cell_angle_beta 90.00
_cell_angle_gamma 120.00
_symmetry_space_group_name_H-M 'R 3 m'
_symmetry_Int_Tables_number 160
_symmetry_space_group_name_Hall 'R 3 -2"'
loop_
_atom_site_label
_atom_site_fract_x
_atom_site_fract_y
_atom_site_fract_z
_atom_site_occupancy
Ga1 0.0000 0.0000 0.0000 1
Ga2 0.0000 0.0000 0.4237 1
Co1 0.0000 0.0000 0.1394 1
Co2 0.0000 0.0000 0.7088 1
Mo1 0.0000 0.0000 0.2782 1
Mo2 0.0000 0.0000 0.5663 1
Mo3 0.0000 0.0000 0.8464 1
```

A plane-wave DFT calculation with PBE was carried out for GaCoMo4N2 after structural relaxation.

Results
VASP energy in eV/f.u.: -70.4

```
data_GaCoMo4N2
_cell_length_a 2.8251
_cell_length_b 2.8251
_cell_length_c 14.3836
_cell_angle_alpha 90.00
_cell_angle_beta 90.00
_cell_angle_gamma 120.00
_symmetry_space_group_name_H-M 'P -6 m 2'
_symmetry_Int_Tables_number 187
_symmetry_space_group_name_Hall 'P -6 2'
loop_
_atom_site_label
_atom_site_fract_x
_atom_site_fract_y
_atom_site_fract_z
_atom_site_occupancy
Ga1 0.0000 0.0000 0.0000 1
Co1 0.6667 0.3333 0.5000 1
Mo1 0.0000 0.0000 0.3537 1
Mo2 0.6667 0.3333 0.1561 1
N1 0.3333 0.6667 0.2534 1
```

A plane-wave DFT calculation with PBE was carried out for GaCoNiMo after structural relaxation.

Results
VASP energy in eV/f.u.: -26.4
ΔE to the lowest computed polymorph in eV per atom: 0.078

```
data_GaCoNiMo
_cell_length_a 5.902
_cell_length_b 5.902
_cell_length_c 5.902
_cell_angle_alpha 90.00
_cell_angle_beta 90.00
_cell_angle_gamma 90.00
_symmetry_space_group_name_H-M 'F -4 3 m'
_symmetry_Int_Tables_number 216
_symmetry_space_group_name_Hall 'F -4 2 3'
loop_
_atom_site_label
_atom_site_fract_x
_atom_site_fract_y
_atom_site_fract_z
_atom_site_occupancy
Ga1 0.000 0.000 0.000 1
Co1 0.250 0.250 0.250 1
Ni1 0.000 0.000 0.500 1
Mo1 0.250 0.250 0.750 1
```

A plane-wave DFT calculation with PBE was carried out for GaCoNiMo after structural relaxation.

Results
VASP energy in eV/f.u.: -26.8
ΔE to the lowest computed polymorph in eV per atom: 0.000

```
data_GaCoNiMo
_cell_length_a 5.881
_cell_length_b 5.881
_cell_length_c 5.881
_cell_angle_alpha 90.00
_cell_angle_beta 90.00
_cell_angle_gamma 90.00
_symmetry_space_group_name_H-M 'F -4 3 m'
_symmetry_Int_Tables_number 216
_symmetry_space_group_name_Hall 'F -4 2 3'
loop_
_atom_site_label
_atom_site_fract_x
_atom_site_fract_y
_atom_site_fract_z
_atom_site_occupancy
Ga1 0.000 0.000 0.000 1
Co1 0.250 0.250 0.250 1
Ni1 0.250 0.250 0.750 1
Mo1 0.000 0.000 0.500 1
```

A plane-wave DFT calculation with PBE was carried out for GaCoMoPd after structural relaxation.

Results
VASP energy in eV/f.u.: -25.9
ΔE to the lowest computed polymorph in eV per atom: 0.000

```
data_GaCoMoPd
_cell_length_a 6.098
_cell_length_b 6.098
_cell_length_c 6.098
_cell_angle_alpha 90.00
_cell_angle_beta 90.00
_cell_angle_gamma 90.00
_symmetry_space_group_name_H-M 'F -4 3 m'
_symmetry_Int_Tables_number 216
_symmetry_space_group_name_Hall 'F -4 2 3'
loop_
_atom_site_label
_atom_site_fract_x
_atom_site_fract_y
_atom_site_fract_z
_atom_site_occupancy
Ga1 0.000 0.000 0.000 1
Co1 0.250 0.250 0.250 1
Mo1 0.000 0.000 0.500 1
Pd1 0.250 0.250 0.750 1
```